1.
The following is a DFT calculation (PBE-GGA) of an optimized crystal structure of AgBr3.

```
AgBr3
1.0
5.350 0.000 0.000
0.000 5.350 0.000
0.000 0.000 3.517
Br Ag
3 1
Direct
0.500 0.000 0.500
0.000 0.500 0.500
0.500 0.500 0.000
0.000 0.000 0.000
```

Calculated values
DOS at the Fermi energy ... 4.2 states/eV/cell
Energy relative to the elements, uncorrected ... 0.3110 eV per atom

---

2.
The following is a DFT calculation (PBE-GGA) of an optimized crystal structure of TaMn2Cu.

```
TaMn2Cu
1.0
-3.039 0.346 2.944
-1.307 -3.440 2.117
0.964 -0.457 4.109
Ta Mn Cu
1 2 1
Direct
0.750 0.750 0.750
0.250 0.250 0.250
0.000 0.000 0.000
0.500 0.500 0.500
```

Calculated values
DOS at the Fermi energy ... 5.5 states/eV/cell
Formation energy ... 0.1951 eV/atom

---

3.
The following is a DFT calculation (PBE-GGA) of an optimized crystal structure of Cs2CdF3.

```
Cs2CdF3
1.0
-2.090 4.363 4.018
-1.329 -5.600 5.389
7.049 -0.057 -1.193
Cs F Cd
4 6 2
Direct
0.338 0.417 0.669
0.668 0.083 0.331
0.662 0.583 0.331
0.332 0.917 0.669
0.144 0.070 0.281
0.863 0.430 0.719
0.626 0.750 0.000
0.856 0.930 0.719
0.137 0.570 0.281
0.374 0.250 0.000
0.007 0.250 0.000
0.993 0.750 0.000
```

Calculated values
DOS at the Fermi energy ... 3.1 states/eV/cell
Energy relative to the elements, uncorrected ... -2.1309 eV per atom

---

4.
The following is a DFT calculation (PBE-GGA) of an optimized crystal structure of PrMg11Ni.

```
PrMg11Ni
1.0
5.174 -0.053 2.156
2.478 7.167 1.032
-0.192 -0.026 7.748
Pr Mg Ni
1 11 1
Direct
0.000 0.000 0.000
0.359 0.637 0.662
0.508 0.223 0.796
0.000 0.500 0.000
0.021 0.637 0.338
0.696 0.777 0.796
0.641 0.363 0.338
0.979 0.363 0.662
0.000 0.000 0.500
0.500 0.000 0.500
0.492 0.777 0.204
0.304 0.223 0.204
0.500 0.500 0.000
```

Calculated values
DOS at the Fermi energy ... 5.5 states/eV/cell
Formation energy ... -0.0658 eV/atom

---

5.
The following is a DFT calculation (PBE-GGA) of an optimized crystal structure of Ac2MgH6Ru.

```
Ac2MgH6Ru
1.0
5.221 0.000 0.001
0.000 5.221 0.001
2.611 2.611 4.634
Ac H Mg Ru
2 6 1 1
Direct
0.750 0.250 0.500
0.250 0.750 0.500
0.792 0.792 0.416
0.733 0.267 0.000
0.267 0.267 0.000
0.267 0.733 0.000
0.208 0.208 0.584
0.733 0.733 0.000
0.000 0.000 0.000
0.500 0.500 0.000
```

Calculated values
DOS at the Fermi energy ... 2.5 states/eV/cell
Energy ... -0.310 Ry/atom

---

6.
The following is a DFT calculation (PBE-GGA) of an optimized crystal structure of CdFeSi2.

```
CdFeSi2
1.0
8.155 -0.157 -0.092
7.659 2.805 -0.092
7.659 1.282 2.497
Si Cd Fe
2 1 1
Direct
0.261 0.261 0.261
0.005 0.005 0.005
0.496 0.496 0.496
0.738 0.738 0.738
```

Calculated values
DOS at the Fermi energy ... 2.2 states/eV/cell
Energy relative to the elements, uncorrected ... 0.2980 eV per atom

---

7.
The following is a DFT calculation (PBE-GGA) of an optimized crystal structure of Rb3TaCd2O6.

```
Rb3TaCd2O6
1.0
-1.904 -3.670 -4.266
-1.544 -0.935 5.660
-4.101 5.158 -1.273
O Cd Rb Ta
6 2 3 1
Direct
0.224 0.224 0.818
0.061 0.347 0.176
0.347 0.061 0.176
0.776 0.776 0.182
0.653 0.939 0.824
0.939 0.653 0.824
0.666 0.334 0.000
0.334 0.666 0.000
0.173 0.827 0.500
0.827 0.173 0.500
0.500 0.500 0.500
0.000 0.000 0.000
```

Calculated values
DOS at the Fermi energy ... 0.0 states/eV/cell
Energy relative to the elements, uncorrected ... -1.6998 eV per atom

---

8.
The following is a DFT calculation (PBE-GGA) of an optimized crystal structure of K3NaCo2Cl8.

```
K3NaCo2Cl8
1.0
7.302 0.000 0.000
-3.651 6.324 0.000
0.000 0.000 8.938
Na Cl K Co
1 8 3 2
Direct
0.000 0.000 0.500
0.169 0.831 0.308
0.661 0.831 0.308
0.831 0.169 0.692
0.169 0.339 0.308
0.339 0.169 0.692
0.667 0.333 0.041
0.831 0.661 0.692
0.333 0.667 0.959
0.667 0.333 0.378
0.000 0.000 0.000
0.333 0.667 0.622
0.667 0.333 0.795
0.333 0.667 0.205
```

Calculated values
Energy relative to the elements, uncorrected ... -1.3287 eV per atom

---

9.
The following is a DFT calculation (PBE-GGA) of an optimized crystal structure of CaErMg2.

```
CaErMg2
1.0
-0.852 -3.672 0.400
2.491 -0.044 4.898
-4.740 1.364 2.423
Mg Ca Er
2 1 1
Direct
0.000 0.500 0.000
0.000 0.000 0.500
0.500 0.000 0.000
0.500 0.500 0.500
```

Calculated values
DOS at the Fermi energy ... 3.4 states/eV/cell
Formation energy ... -0.0644 eV/atom

---

10.
The following is a DFT calculation (PBE-GGA) of an optimized crystal structure of K2PW.

```
K2PW
1.0
-3.769 -3.302 -2.260
-4.804 2.067 -1.694
-1.097 0.356 -5.375
K W P
2 1 1
Direct
0.750 0.750 0.750
0.250 0.250 0.250
0.500 0.500 0.500
0.000 0.000 0.000
```

Calculated values
DOS at the Fermi energy ... 2.4 states/eV/cell
Formation energy ... 1.5933 eV/atom

---

11.
The following is a DFT calculation (PBE-GGA) of an optimized crystal structure of Ac2LaPm9.

```
Ac2LaPm9
1.0
5.252 0.000 0.000
0.000 5.252 0.000
0.000 0.000 15.749
Pm Ac La
9 2 1
Direct
0.000 0.500 0.500
0.500 0.000 0.163
0.500 0.500 0.332
0.500 0.000 0.500
0.500 0.000 0.837
0.000 0.500 0.837
0.500 0.500 0.668
0.000 0.500 0.163
0.500 0.500 0.000
0.000 0.000 0.668
0.000 0.000 0.332
0.000 0.000 0.000
```

Calculated values
DOS at the Fermi energy ... 20.5 states/eV/cell
Formation energy ... 0.0253 eV/atom

---

12.
The following is a DFT calculation (PBE-GGA) of an optimized crystal structure of BeNiCl2.

```
BeNiCl2
1.0
-6.605 0.318 -8.747
-5.379 -2.461 -9.233
-7.816 -2.158 -7.381
Cl Be Ni
2 1 1
Direct
0.456 0.456 0.456
0.044 0.044 0.044
0.750 0.750 0.750
0.250 0.250 0.250
```

Calculated values
DOS at the Fermi energy ... 5.1 states/eV/cell
Energy relative to the elements, uncorrected ... -0.1595 eV per atom

---

13.
The following is a DFT calculation (PBE-GGA) of an optimized crystal structure of Na10B17C3.

```
Na10B17C3
1.0
6.431 0.005 -4.600
4.362 4.641 -4.582
0.576 0.291 10.487
B Na C
17 10 3
Direct
0.178 0.828 0.250
0.450 0.762 0.250
0.638 0.964 0.750
0.971 0.610 0.750
0.818 0.179 0.750
0.961 0.638 0.249
0.833 0.181 0.250
0.560 0.235 0.750
0.363 0.036 0.750
0.218 0.583 0.750
0.168 0.841 0.751
0.032 0.355 0.250
0.606 0.975 0.250
0.225 0.568 0.249
0.439 0.759 0.751
0.793 0.425 0.750
0.577 0.229 0.250
0.804 0.799 0.003
0.402 0.399 0.001
0.002 0.997 0.497
0.201 0.200 0.001
0.602 0.597 0.498
0.397 0.403 0.500
0.997 0.003 0.999
0.201 0.199 0.500
0.596 0.602 0.999
0.797 0.804 0.502
0.043 0.356 0.749
0.769 0.436 0.251
0.360 0.037 0.250
```

Calculated values
DOS at the Fermi energy ... 6.9 states/eV/cell
Formation energy ... 0.2269 eV/atom

---

14.
The following is a DFT calculation (PBE-GGA) of an optimized crystal structure of Sm7Hg2Ge2.

```
Sm7Hg2Ge2
1.0
6.625 -0.004 -0.957
0.004 7.860 0.003
-1.368 -0.001 6.552
Sm Hg Ge
7 2 2
Direct
0.500 0.270 0.500
0.500 0.700 0.000
0.000 0.000 0.000
0.000 0.700 0.500
0.500 0.300 0.000
0.500 0.730 0.500
0.000 0.300 0.500
0.711 0.000 0.289
0.289 0.000 0.711
0.830 0.500 0.830
0.170 0.500 0.170
```

Calculated values
DOS at the Fermi energy ... 13.2 states/eV/cell
Formation energy ... -0.1554 eV/atom

---

15.
The following is a DFT calculation (PBE-GGA) of an optimized crystal structure of CeAlPdAu.

```
CeAlPdAu
1.0
4.390 0.000 0.000
2.195 3.802 0.000
2.195 1.267 5.156
Ce Al Au Pd
1 1 1 1
Direct
0.818 0.818 0.546
0.617 0.617 0.150
0.028 0.028 0.917
0.264 0.264 0.209
```

Calculated values
DOS at the Fermi energy ... 6.6 states/eV/cell
Formation energy ... -0.6123 eV/atom

---

16.
The following is a DFT calculation (PBE-GGA) of an optimized crystal structure of PmPr12Ho7.

```
PmPr12Ho7
1.0
6.153 0.000 -1.266
-3.199 9.863 -5.156
0.245 0.000 11.577
Ho Pr Pm
7 12 1
Direct
0.875 0.244 0.998
0.500 0.000 0.000
0.123 0.998 0.754
0.369 0.246 0.244
0.877 0.002 0.246
0.631 0.754 0.756
0.125 0.756 0.002
0.580 0.648 0.002
0.913 0.824 0.411
0.502 0.589 0.413
0.498 0.411 0.587
0.422 0.002 0.355
0.578 0.998 0.645
0.911 0.413 0.824
0.933 0.355 0.352
0.089 0.587 0.176
0.420 0.352 0.998
0.067 0.645 0.648
0.087 0.176 0.589
0.000 0.000 0.000
```

Calculated values
DOS at the Fermi energy ... 28.7 states/eV/cell
Formation energy ... 0.2351 eV/atom

---

17.
The following is a DFT calculation (PBE-GGA) of an optimized crystal structure of AcPr6Nd3.

```
AcPr6Nd3
1.0
-3.980 -9.437 0.205
4.212 -7.459 -5.618
2.551 -6.607 1.344
Pr Nd Ac
6 3 1
Direct
0.400 0.727 0.800
0.727 0.073 0.800
0.900 0.564 0.300
0.236 0.900 0.300
0.073 0.400 0.800
0.564 0.236 0.300
0.400 0.400 0.800
0.641 0.641 0.078
0.159 0.159 0.522
0.900 0.900 0.300
```

Calculated values
DOS at the Fermi energy ... 19.9 states/eV/cell
Formation energy ... 0.2481 eV/atom

---

18.
The following is a DFT calculation (PBE-GGA) of an optimized crystal structure of YCr2Br.

```
YCr2Br
1.0
-0.939 2.073 -2.433
-3.098 -1.215 0.160
-1.896 5.552 5.461
Y Cr Br
1 2 1
Direct
0.000 0.000 0.477
0.500 0.500 0.213
0.000 0.000 0.092
0.500 0.500 0.719
```

Calculated values
DOS at the Fermi energy ... 3.5 states/eV/cell
Energy relative to the elements, uncorrected ... 0.0441 eV per atom

---

19.
The following is a DFT calculation (PBE-GGA) of an optimized crystal structure of CsSbAu.

```
CsSbAu
1.0
6.308 0.000 0.000
0.000 7.493 0.000
0.000 0.000 10.158
Sb Cs Au
4 4 4
Direct
0.064 0.117 0.750
0.936 0.617 0.250
0.936 0.617 0.750
0.064 0.117 0.250
0.502 0.366 0.000
0.498 0.866 0.000
0.499 0.865 0.500
0.501 0.365 0.500
0.044 0.614 0.000
0.956 0.114 0.500
0.044 0.614 0.500
0.956 0.114 0.000
```

Calculated values
DOS at the Fermi energy ... 2.5 states/eV/cell
Energy relative to the elements, uncorrected ... -0.2041 eV per atom

---

20.
The following is a DFT calculation (PBE-GGA) of an optimized crystal structure of CaAg4P4O12.

```
CaAg4P4O12
1.0
4.313 -0.030 -0.118
0.250 5.756 -0.002
-0.100 2.165 13.724
O Ca Ag P
12 1 4 4
Direct
0.866 0.965 0.301
0.936 0.458 0.655
0.436 0.227 0.220
0.017 0.533 0.370
0.434 0.748 0.797
0.710 0.941 0.121
0.283 0.883 0.430
0.086 0.014 0.680
0.371 0.778 0.258
0.665 0.163 0.555
0.589 0.176 0.738
0.162 0.119 0.851
0.930 0.499 0.835
0.888 0.654 0.036
0.386 0.372 0.032
0.708 0.729 0.522
0.529 0.319 0.383
0.593 0.992 0.215
0.137 0.778 0.346
0.319 0.002 0.775
0.817 0.217 0.646
```

Calculated values
DOS at the Fermi energy ... 0.9 states/eV/cell
Energy relative to the elements, uncorrected ... -1.6192 eV per atom